{
  "formula": "SrTiNiS3",
  "functional": "PBE-GGA",
  "state": "relaxed",
  "n_ef_per_ev_fu": 1.21,
  "density_g_cm3": 4.217,
  "total_energy_ev_per_atom": -6.0148,
  "total_magnetization_mub_per_atom": 0.000,
  "formation_energy_uncorrected_ev_per_atom": -1.39,
  "lattice_angstrom": [[3.668, 0.000, 0.000], [0.000, 7.659, -0.329], [0.000, -2.346, 8.240]],
  "species": ["Ti", "Ti", "Sr", "Sr", "S", "S", "S", "S", "S", "S", "Ni", "Ni"],
  "fractional_positions": [[0.250, 0.695, 0.172], [0.750, 0.305, 0.828], [0.750, 0.780, 0.747], [0.250, 0.220, 0.253], [0.250, 0.544, 0.857], [0.750, 0.896, 0.135], [0.750, 0.456, 0.143], [0.250, 0.769, 0.462], [0.750, 0.231, 0.538], [0.250, 0.104, 0.865], [0.250, 0.095, 0.602], [0.750, 0.905, 0.398]]
}



{
  "formula": "BaScSi2",
  "functional": "PBE-GGA",
  "state": "relaxed",
  "n_ef_per_ev_fu": 1.44,
  "density_g_cm3": 3.820,
  "total_energy_ev_per_atom": -4.7810,
  "total_magnetization_mub_per_atom": 0.000,
  "formation_energy_uncorrected_ev_per_atom": -0.01,
  "lattice_angstrom": [[-3.415, -5.566, -6.183], [0.141, -6.593, -6.115], [-2.222, -7.935, -3.601]],
  "species": ["Si", "Si", "Ba", "Sc"],
  "fractional_positions": [[0.013, 0.013, 0.013], [0.487, 0.487, 0.487], [0.250, 0.250, 0.250], [0.750, 0.750, 0.750]]
}



{
  "formula": "NdDy2Ag2Pb2",
  "functional": "PBE-GGA",
  "state": "relaxed",
  "n_ef_per_ev_fu": 3.38,
  "density_g_cm3": 9.775,
  "total_energy_ev_per_atom": -4.1828,
  "total_magnetization_mub_per_atom": 0.000,
  "delta_e_f_ev_per_atom": -0.313,
  "lattice_angstrom": [[-4.325, -1.402, 1.973], [-0.795, -4.768, 1.094], [1.544, -0.752, 9.074]],
  "species": ["Ag", "Ag", "Dy", "Dy", "Pb", "Pb", "Nd"],
  "fractional_positions": [[0.443, 0.443, 0.672], [0.557, 0.557, 0.328], [0.865, 0.865, 0.404], [0.135, 0.135, 0.596], [0.265, 0.265, 0.204], [0.735, 0.735, 0.796], [0.000, 0.000, 0.000]]
}